MgH3Rh after structural relaxation, computed with PBE.

Values from the calculation:
- D(E_F) (states/eV per cell) = 0.0
- calculated density (kg/m3) = 5069
- total DFT energy (no corrections) (eV/atom) = -4.03

Cell: 3.2832 3.2832 9.1395 Å, 90.00 90.00 120.00°
Closest atoms and distances in Å follow each position.
Atoms (fractional coordinates):
Mg 0.0000 0.0000 0.0000  6 H 2.00
Mg 0.0000 0.0000 0.5000  6 H 2.00
H 0.0000 0.0000 0.2500  3 Rh 1.90
H 0.0000 0.0000 0.7500  3 Rh 1.90
H 0.3333 0.6667 0.0685  1 Rh 1.66
H 0.3333 0.6667 0.4315  1 Rh 1.66
H 0.6667 0.3333 0.5685  1 Rh 1.66
H 0.6667 0.3333 0.9315  1 Rh 1.66
Rh 0.3333 0.6667 0.2500  2 H 1.66
Rh 0.6667 0.3333 0.7500  2 H 1.66